No. 1
NaLaIr3 | Alexandria via LeMat-Bulk | GGA-PBE | optimized geometry; space group = Pm-3m; formation energy from the elements = 1.160 eV per atom; magnetization = 0.00 μB per formula unit; offset from the most stable computed form = 0 meV per atom; Fermi-level density of states = 0.97 states/eV/atom; E_tot = -27.03 eV for the cell shown
1.0
4.6558 0.0000 0.0000
0.0000 4.6558 0.0000
0.0000 0.0000 4.6558
Na Ir La
1 3 1
direct
0.0000 0.0000 0.0000 Na
0.0000 0.5000 0.0000 Ir
0.5000 0.0000 0.0000 Ir
0.0000 0.0000 0.5000 Ir
0.5000 0.5000 0.5000 La

---

No. 2
Na3LaIr | Alexandria via LeMat-Bulk | GGA-PBE | optimized geometry; space group = Pm-3m; formation energy from the elements = 2.016 eV per atom; magnetization = 2.28 μB per formula unit; offset from the most stable computed form = 1242 meV per atom; Fermi-level density of states = 2.35 states/eV/atom; E_tot = -7.67 eV for the cell shown
1.0
-5.3475 2.0887 0.5064
-0.6495 -2.8651 4.9582
2.0487 4.5435 2.8938
Ir Na La
1 3 1
direct
0.5000 0.5000 0.5000 Ir
0.0000 0.0000 0.5000 Na
0.5000 0.0000 0.0000 Na
0.0000 0.5000 0.0000 Na
0.0000 0.0000 0.0000 La

---

No. 3
NaLa2Ir | Alexandria via LeMat-Bulk | GGA-PBE | optimized geometry; space group = C2/m; formation energy from the elements = -0.442 eV per atom; magnetization = 0.00 μB per formula unit; Fermi-level density of states = 0.82 states/eV/atom; E_tot = -21.80 eV for the cell shown
1.0
4.2292 0.0000 0.0000
-2.1146 3.6275 -0.5633
0.0000 -0.8699 9.7373
Ir Na La
1 1 2
direct
0.5000 0.0000 0.0000 Ir
0.0000 0.0000 0.5000 Na
0.7822 0.5645 0.8410 La
0.2178 0.4355 0.1590 La

---

No. 4
NaLa2Ir | Alexandria via LeMat-Bulk | GGA-PBE | optimized geometry; space group = R3m; formation energy from the elements = -0.445 eV per atom; magnetization = 0.00 μB per formula unit; Fermi-level density of states = 0.80 states/eV/atom; E_tot = -21.82 eV for the cell shown
1.0
-0.1258 3.8582 -1.7483
-1.2799 0.4672 -4.0127
-9.3411 2.4901 1.0316
Na Ir La
1 1 2
direct
0.5007 0.5007 0.4979 Na
0.6663 0.6663 0.0010 Ir
0.2798 0.2798 0.1606 La
0.0532 0.0532 0.8404 La

---

No. 5
Na2LaIr | Alexandria via LeMat-Bulk | GGA-PBE | optimized geometry; space group = Fm-3m; formation energy from the elements = 0.369 eV per atom; magnetization = 0.00 μB per formula unit; offset from the most stable computed form = 374 meV per atom; Fermi-level density of states = 0.57 states/eV/atom; E_tot = -14.95 eV for the cell shown
1.0
0.0000 3.5577 3.5577
3.5577 0.0000 3.5577
3.5577 3.5577 0.0000
Na La Ir
2 1 1
direct
0.2500 0.2500 0.2500 Na
0.7500 0.7500 0.7500 Na
0.0000 0.0000 0.0000 La
0.5000 0.5000 0.5000 Ir

---

No. 6
NaLa2Ir | Alexandria via LeMat-Bulk | GGA-PBE | optimized geometry; space group = P4/mmm; formation energy from the elements = -0.323 eV per atom; magnetization = 0.00 μB per formula unit; Fermi-level density of states = 0.92 states/eV/atom; E_tot = -21.33 eV for the cell shown
1.0
-2.7550 2.2891 -0.6467
-2.3274 -2.7985 0.0088
-1.3005 1.1115 9.4746
La Ir Na
2 1 1
direct
0.0000 0.0000 0.1727 La
0.0000 0.0000 0.8273 La
0.5000 0.5000 0.0000 Ir
0.5000 0.5000 0.5000 Na

---

No. 7
Na2LaIrO6 | Alexandria via LeMat-Bulk | GGA-PBE | optimized geometry; space group = P2_1/c; E_form (uncorrected) = -1.622 eV/atom; magnetization = 1.29 μB per formula unit; Fermi-level density of states = 0.60 states/eV/atom; E_tot = -124.78 eV for the cell shown
1.0
5.7353 0.0000 -0.0516
0.0000 5.9156 0.0000
-0.0246 0.0000 8.2287
O Na Ir La
12 4 2 2
direct
0.7275 0.3237 0.9513 O
0.2725 0.6763 0.0487 O
0.6669 0.2688 0.5625 O
0.1021 0.4584 0.7802 O
0.3331 0.7312 0.4375 O
0.7725 0.8237 0.5487 O
0.8979 0.5416 0.2198 O
0.3979 0.9584 0.7198 O
0.8331 0.7688 0.9375 O
0.6021 0.0416 0.2802 O
0.1669 0.2312 0.0625 O
0.2275 0.1763 0.4513 O
0.9874 0.0435 0.7465 Na
0.4874 0.4565 0.2465 Na
0.5126 0.5435 0.7535 Na
0.0126 0.9565 0.2535 Na
0.5000 0.0000 0.5000 Ir
0.0000 0.5000 0.0000 Ir
0.0000 0.5000 0.5000 La
0.5000 0.0000 0.0000 La

---

No. 8
NaLa2IrO6 | Alexandria via LeMat-Bulk | GGA-PBE | optimized geometry; space group = P2_1/c; E_form (uncorrected) = -2.282 eV/atom; magnetization = 2.02 μB per formula unit; Fermi-level density of states = 0.52 states/eV/atom; E_tot = -145.20 eV for the cell shown
1.0
6.0253 0.0000 0.0000
0.0000 5.6315 0.0014
0.0000 5.5342 8.1060
La O Na Ir
4 12 2 2
direct
0.4307 0.7713 0.2469 La
0.5693 0.2287 0.7531 La
0.0693 0.7713 0.7469 La
0.9307 0.2287 0.2531 La
0.7799 0.7292 0.9348 O
0.4534 0.6183 0.7679 O
0.2799 0.2708 0.5652 O
0.2201 0.2708 0.0652 O
0.1739 0.8439 0.4490 O
0.5466 0.3817 0.2321 O
0.8261 0.1561 0.5510 O
0.6739 0.1561 0.0510 O
0.7201 0.7292 0.4348 O
0.3261 0.8439 0.9490 O
0.0466 0.6183 0.2679 O
0.9534 0.3817 0.7321 O
0.0000 0.0000 0.0000 Na
0.5000 0.0000 0.5000 Na
0.0000 0.5000 0.5000 Ir
0.5000 0.5000 0.0000 Ir

---

No. 9
Na2LaIrO4 | Alexandria via LeMat-Bulk | GGA-PBE | optimized geometry; space group = I-4; E_form (uncorrected) = -1.772 eV/atom; magnetization = 2.01 μB per formula unit; Fermi-level density of states = 0.69 states/eV/atom; E_tot = -50.44 eV for the cell shown
1.0
5.3219 0.1181 0.1810
-2.1608 4.8650 -0.1810
-2.1608 -2.1235 4.3808
O Na La Ir
4 2 1 1
direct
0.4654 0.6948 0.7697 O
0.9252 0.2303 0.6957 O
0.0748 0.7705 0.3052 O
0.5346 0.3043 0.2295 O
0.0000 0.0000 0.0000 Na
0.5000 0.7500 0.2500 Na
0.5000 0.2500 0.7500 La
0.0000 0.5000 0.5000 Ir

---

No. 10
Na2LaIrPd | Alexandria via LeMat-Bulk | GGA-PBE | optimized geometry; space group = P4/mmm; formation energy from the elements = 0.330 eV per atom; magnetization = 0.00 μB per formula unit; Fermi-level density of states = 0.56 states/eV/atom; E_tot = -19.97 eV for the cell shown
1.0
4.8086 0.0000 0.0000
0.0000 5.3049 0.0000
0.0000 0.0000 4.8086
Na La Ir Pd
2 1 1 1
direct
0.0000 0.0000 0.5000 Na
0.5000 0.0000 0.0000 Na
0.5000 0.5000 0.5000 La
0.0000 0.5000 0.0000 Ir
0.0000 0.0000 0.0000 Pd

---

No. 11
RbNaLa2Ir | Alexandria via LeMat-Bulk | GGA-PBE | optimized geometry; space group = P4/mmm; formation energy from the elements = -0.079 eV per atom; magnetization = 0.00 μB per formula unit; Fermi-level density of states = 0.74 states/eV/atom; E_tot = -21.40 eV for the cell shown
1.0
-4.9241 2.4436 0.8561
-0.4523 -2.6229 4.8853
2.9635 4.9455 2.9296
Ir Na La Rb
1 1 2 1
direct
0.0000 0.0000 0.0000 Ir
0.0000 0.0000 0.5000 Na
0.0000 0.5000 0.0000 La
0.5000 0.0000 0.0000 La
0.5000 0.5000 0.5000 Rb

---

No. 12
NaLa2ScIr | Alexandria via LeMat-Bulk | GGA-PBE | optimized geometry; space group = P4/mmm; formation energy from the elements = -0.261 eV per atom; magnetization = 0.00 μB per formula unit; Fermi-level density of states = 0.83 states/eV/atom; E_tot = -27.67 eV for the cell shown
1.0
5.6995 0.0000 0.0000
0.0000 5.6995 0.0000
0.0000 0.0000 5.2194
Sc Na Ir La
1 1 1 2
direct
0.0000 0.0000 0.5000 Sc
0.5000 0.5000 0.5000 Na
0.0000 0.0000 0.0000 Ir
0.5000 0.0000 0.0000 La
0.0000 0.5000 0.0000 La

---

No. 13
NaLa2SiIr | Alexandria via LeMat-Bulk | GGA-PBE | optimized geometry; space group = P4/mmm; E_form (uncorrected) = 0.443 eV/atom; magnetization = 0.00 μB per formula unit; Fermi-level density of states = 0.80 states/eV/atom; E_tot = -23.24 eV for the cell shown
1.0
-1.7456 -5.3207 0.5362
4.1107 -1.1038 2.4291
-2.5165 1.3150 4.8561
Na La Si Ir
1 2 1 1
direct
0.0000 0.5000 0.0000 Na
0.0000 0.0000 0.5000 La
0.5000 0.0000 0.0000 La
0.0000 0.0000 0.0000 Si
0.5000 0.5000 0.5000 Ir

---

No. 14
NaSrLa2Ir | Alexandria via LeMat-Bulk | GGA-PBE | optimized geometry; space group = P4/mmm; formation energy from the elements = -0.157 eV per atom; magnetization = 0.00 μB per formula unit; offset from the most stable computed form = 124 meV per atom; Fermi-level density of states = 0.87 states/eV/atom; E_tot = -22.50 eV for the cell shown
1.0
5.5632 0.0000 0.0000
0.0000 5.5632 0.0000
0.0000 0.0000 6.1091
Ir La Sr Na
1 2 1 1
direct
0.0000 0.0000 0.0000 Ir
0.5000 0.0000 0.0000 La
0.0000 0.5000 0.0000 La
0.5000 0.5000 0.5000 Sr
0.0000 0.0000 0.5000 Na

---

No. 15
NaSr2LaIr | Alexandria via LeMat-Bulk | GGA-PBE | optimized geometry; space group = P4/mmm; formation energy from the elements = -0.236 eV per atom; magnetization = 0.00 μB per formula unit; Fermi-level density of states = 0.68 states/eV/atom; E_tot = -19.65 eV for the cell shown
1.0
6.0929 0.0000 0.0000
0.0000 6.0929 0.0000
0.0000 0.0000 5.4775
Ir Sr La Na
1 2 1 1
direct
0.0000 0.0000 0.0000 Ir
0.0000 0.5000 0.0000 Sr
0.5000 0.0000 0.0000 Sr
0.0000 0.0000 0.5000 La
0.5000 0.5000 0.5000 Na

---

No. 16
NaSrLaIr2 | Alexandria via LeMat-Bulk | GGA-PBE | optimized geometry; space group = P4/mmm; formation energy from the elements = 0.614 eV per atom; magnetization = 0.00 μB per formula unit; Fermi-level density of states = 1.29 states/eV/atom; E_tot = -22.58 eV for the cell shown
1.0
-5.1538 0.2031 0.4172
-0.3498 -5.0958 -1.8409
0.3227 -1.7744 4.8502
Ir Na La Sr
2 1 1 1
direct
0.5000 0.0000 0.0000 Ir
0.0000 0.0000 0.5000 Ir
0.0000 0.5000 0.0000 Na
0.0000 0.0000 0.0000 La
0.5000 0.5000 0.5000 Sr

---

No. 17
NaSrLa2Ir | Alexandria via LeMat-Bulk | GGA-PBE | optimized geometry; space group = P4/mmm; formation energy from the elements = -0.281 eV per atom; magnetization = 0.00 μB per formula unit; offset from the most stable computed form = 0 meV per atom; Fermi-level density of states = 0.71 states/eV/atom; E_tot = -23.12 eV for the cell shown
1.0
-1.2204 -1.5121 -5.2624
3.8189 -4.0988 0.2921
-4.3560 -3.9065 2.1327
Sr La Na Ir
1 2 1 1
direct
0.0000 0.0000 0.5000 Sr
0.0000 0.5000 0.0000 La
0.5000 0.0000 0.0000 La
0.5000 0.5000 0.5000 Na
0.0000 0.0000 0.0000 Ir

---

No. 18
NaLa2TlIr | Alexandria via LeMat-Bulk | GGA-PBE | optimized geometry; space group = P4/mmm; formation energy from the elements = -0.256 eV per atom; magnetization = 0.00 μB per formula unit; offset from the most stable computed form = 0 meV per atom; Fermi-level density of states = 0.95 states/eV/atom; E_tot = -23.68 eV for the cell shown
1.0
5.6048 0.0000 0.0000
0.0000 5.6048 0.0000
0.0000 0.0000 5.3773
Ir Na La Tl
1 1 2 1
direct
0.0000 0.0000 0.0000 Ir
0.5000 0.5000 0.5000 Na
0.5000 0.0000 0.0000 La
0.0000 0.5000 0.0000 La
0.0000 0.0000 0.5000 Tl

---

No. 19
NaLa2TlIr | Alexandria via LeMat-Bulk | GGA-PBE | optimized geometry; space group = P4/mmm; formation energy from the elements = -0.232 eV per atom; magnetization = 0.00 μB per formula unit; offset from the most stable computed form = 25 meV per atom; Fermi-level density of states = 1.02 states/eV/atom; E_tot = -23.56 eV for the cell shown
1.0
5.4955 0.0000 0.0000
0.0000 5.4955 0.0000
0.0000 0.0000 5.5230
Na Ir La Tl
1 1 2 1
direct
0.0000 0.0000 0.5000 Na
0.0000 0.0000 0.0000 Ir
0.5000 0.0000 0.0000 La
0.0000 0.5000 0.0000 La
0.5000 0.5000 0.5000 Tl

---

No. 20
NaLaVIr2 | Alexandria via LeMat-Bulk | GGA-PBE | optimized geometry; space group = P4/mmm; formation energy from the elements = 1.692 eV per atom; magnetization = 0.16 μB per formula unit; Fermi-level density of states = 1.59 states/eV/atom; E_tot = -24.62 eV for the cell shown
1.0
4.6836 0.0000 0.0000
0.0000 4.7737 0.0000
0.0000 0.0000 4.6836
V La Ir Na
1 1 2 1
direct
0.5000 0.5000 0.5000 V
0.0000 0.5000 0.0000 La
0.0000 0.0000 0.5000 Ir
0.5000 0.0000 0.0000 Ir
0.0000 0.0000 0.0000 Na

---

No. 21
NaLaY2Ir | Alexandria via LeMat-Bulk | GGA-PBE | optimized geometry; space group = P4/mmm; formation energy from the elements = -0.275 eV per atom; magnetization = 0.00 μB per formula unit; Fermi-level density of states = 0.64 states/eV/atom; E_tot = -29.41 eV for the cell shown
1.0
5.5454 0.0000 0.0000
0.0000 5.5454 0.0000
0.0000 0.0000 5.6146
Y Na Ir La
2 1 1 1
direct
0.5000 0.0000 0.0000 Y
0.0000 0.5000 0.0000 Y
0.5000 0.5000 0.5000 Na
0.0000 0.0000 0.0000 Ir
0.0000 0.0000 0.5000 La

---

No. 22
NaLa2YIr | Alexandria via LeMat-Bulk | GGA-PBE | optimized geometry; space group = P4/mmm; formation energy from the elements = -0.281 eV per atom; magnetization = 0.00 μB per formula unit; Fermi-level density of states = 0.77 states/eV/atom; E_tot = -27.90 eV for the cell shown
1.0
5.6755 0.0000 0.0000
0.0000 5.6755 0.0000
0.0000 0.0000 5.6041
La Y Na Ir
2 1 1 1
direct
0.0000 0.5000 0.0000 La
0.5000 0.0000 0.0000 La
0.0000 0.0000 0.5000 Y
0.5000 0.5000 0.5000 Na
0.0000 0.0000 0.0000 Ir

---

No. 23
NaLaZn2Ir | Alexandria via LeMat-Bulk | GGA-PBE | optimized geometry; space group = P4/mmm; formation energy from the elements = -0.186 eV per atom; magnetization = 0.00 μB per formula unit; Fermi-level density of states = 0.52 states/eV/atom; E_tot = -18.59 eV for the cell shown
1.0
-2.6753 0.8271 -4.1990
-2.2473 -4.4857 0.5482
-3.8083 2.2588 2.8713
Zn La Ir Na
2 1 1 1
direct
0.5000 0.0000 0.0000 Zn
0.0000 0.5000 0.0000 Zn
0.0000 0.0000 0.5000 La
0.0000 0.0000 0.0000 Ir
0.5000 0.5000 0.5000 Na

---

No. 24
NaLa2ZnIr | Alexandria via LeMat-Bulk | GGA-PBE | optimized geometry; space group = P4/mmm; formation energy from the elements = -0.282 eV per atom; magnetization = 0.00 μB per formula unit; Fermi-level density of states = 0.74 states/eV/atom; E_tot = -22.72 eV for the cell shown
1.0
5.5739 0.0000 0.0000
0.0000 5.5739 0.0000
0.0000 0.0000 5.0577
La Ir Na Zn
2 1 1 1
direct
0.0000 0.5000 0.0000 La
0.5000 0.0000 0.0000 La
0.0000 0.0000 0.0000 Ir
0.5000 0.5000 0.5000 Na
0.0000 0.0000 0.5000 Zn

---

No. 25
LaNbIr3 | Alexandria via LeMat-Bulk | GGA-PBE | optimized geometry; space group = Pm-3m; formation energy from the elements = 2.005 eV per atom; magnetization = 0.00 μB per formula unit; offset from the most stable computed form = 1663 meV per atom; Fermi-level density of states = 2.44 states/eV/atom; E_tot = -31.56 eV for the cell shown
1.0
-4.0498 -2.6552 -0.2622
0.0146 -0.4986 4.8240
-2.6681 4.0276 0.4244
Nb La Ir
1 1 3
direct
0.5000 0.5000 0.5000 Nb
0.0000 0.0000 0.0000 La
0.5000 0.0000 0.0000 Ir
0.0000 0.5000 0.0000 Ir
0.0000 0.0000 0.5000 Ir

---

No. 26
La2Nb2Ir | Alexandria via LeMat-Bulk | GGA-PBE | optimized geometry; space group = P4/mbm; formation energy from the elements = 0.042 eV per atom; magnetization = 0.00 μB per formula unit; Fermi-level density of states = 1.60 states/eV/atom; E_tot = -77.29 eV for the cell shown
1.0
-5.2513 -3.5414 -2.4964
4.3035 -3.8071 -3.6518
0.3880 -3.3866 3.9880
Ir La Nb
2 4 4
direct
0.5000 0.5000 0.0000 Ir
0.0000 0.0000 0.0000 Ir
0.1737 0.6737 0.5000 La
0.8263 0.3263 0.5000 La
0.3263 0.1737 0.5000 La
0.6737 0.8263 0.5000 La
0.6450 0.1450 0.0000 Nb
0.3550 0.8550 0.0000 Nb
0.1450 0.3550 0.0000 Nb
0.8550 0.6450 0.0000 Nb

---

No. 27
La2NbIr | Alexandria via LeMat-Bulk | GGA-PBE | optimized geometry; space group = I-42d; formation energy from the elements = 0.281 eV per atom; magnetization = 0.52 μB per formula unit; offset from the most stable computed form = 130 meV per atom; Fermi-level density of states = 1.30 states/eV/atom; E_tot = -55.32 eV for the cell shown
1.0
8.1225 0.0000 0.0000
0.0000 8.1225 0.0000
4.0612 4.0612 3.0740
Nb Ir La
2 2 4
direct
0.5000 0.5000 0.0000 Nb
0.2500 0.7500 0.5000 Nb
0.7500 0.2500 0.5000 Ir
0.0000 0.0000 0.0000 Ir
0.3750 0.3414 0.7500 La
0.6586 0.1250 0.2500 La
0.0914 0.6250 0.2500 La
0.8750 0.9086 0.7500 La